## TiV3Tc2 (PBE)

Data for a relaxed TiV3Tc2 crystal.

Calculated values
For the magnetic moment, the calculation gives 0.000 μB per atom. The formation energy is -0.15 eV/atom. The calculation puts the calculated total energy at -9.477 eV per atom. Its density of states at the Fermi level is 0.72 states/eV per atom.

Lattice parameters (Å, degrees): 12.6973 4.2349 6.6745 90.00 95.19 90.00
Closest atoms and distances in Å follow each position.
Space group C2/m (No. 12)
Asymmetric unit:
Ti  0.1462  0.0000  0.2846 [4 per cell]  5 Tc 2.58-2.65, 2 V 2.78-2.82
V  0.0771  0.0000  0.8705 [4 per cell]  3 Tc 2.50-2.57, 3 V 2.64-2.73
V  0.1128  0.5000  0.5840 [4 per cell]  5 Tc 2.50-2.71, 1 V 2.71
V  0.1940  0.5000  0.9733 [4 per cell]  5 V 2.56-2.71, 2 Tc 2.56-2.60, 1 Ti 2.78
Tc  0.0354  0.5000  0.1928 [4 per cell]  5 V 2.50-2.71, 2 Ti 2.58, 1 Tc 2.65
Tc  0.2297  0.0000  0.6585 [4 per cell]  5 V 2.50-2.68, 3 Ti 2.62-2.65